Record 1
The following is a GGA-PBEsol calculation of a geometry-optimized BaY2Mg structure, from the Alexandria database.

Results
Total magnetization (μB per formula unit): 0.000
Space group: P4/mmm, No. 123
Crystal system: tetragonal

Cell and atoms, written as extended XYZ:
```
4
Lattice="5.018 0.000 0.000 0.000 5.018 0.000 0.000 0.000 5.275" Properties=species:S:1:pos:R:3 pbc="T T T"
Ba 2.509 2.509 2.638
Mg 0.000 0.000 2.638
Y 0.000 2.509 0.000
Y 2.509 0.000 0.000
```

Record 2
The following is a GGA-PBEsol calculation of a geometry-optimized BaY2Mg structure, from the Alexandria database.

Results
Total magnetization (μB per formula unit): 0.000
Space group: C2/m, No. 12
Crystal system: monoclinic

Cell and atoms, written as extended XYZ:
```
4
Lattice="-0.312 -1.545 -3.079 5.902 1.927 -1.169 -0.636 -5.364 4.501" Properties=species:S:1:pos:R:3 pbc="T T T"
Ba -0.156 -0.773 -1.540
Mg 2.951 0.963 -0.584
Y -0.318 -2.682 2.251
Y 2.477 -2.491 0.126
```

Record 3
The following is a GGA-PBEsol calculation of a geometry-optimized BaMgZn2 structure, from the Alexandria database.

Results
Total magnetization (μB per formula unit): 0.000
Space group: C2/m, No. 12
Crystal system: monoclinic

Cell and atoms, written as extended XYZ:
```
4
Lattice="4.617 0.000 0.000 -2.309 4.003 -0.035 0.000 -2.594 5.833" Properties=species:S:1:pos:R:3 pbc="T T T"
Mg 0.000 -1.297 2.917
Zn 2.309 0.045 3.339
Zn 0.000 1.365 2.459
Ba 2.309 0.000 0.000
```

Listing N(E_F) for the structures above in their given order: 6.1 5.7 2.4 states/eV/cell.
Listing ΔH_f (0 K) for the structures above in their given order: 0.20 0.20 -0.12 eV per atom.
Listing E_tot for the structures above in their given order: -16.72 -16.71 -7.51 eV per cell.